ZnCuAsO5 | PBEsol | relaxed

Cell: 8.5143 8.6803 5.7603 Å, 90.00 90.00 90.00°
Last column: nearest neighbours and their distance in Å.
Space group Pnnm (No. 58)
Asymmetric unit:
Zn 0.1502 0.1111 0.0000 [4 per cell]  5 O 1.94-2.07
Cu 0.0000 0.5000 0.2534 [4 per cell]  4 O 1.83-1.91
As 0.2300 0.7464 0.0000 [4 per cell]  4 O 1.69-1.77
O 0.0934 0.8908 0.0000 [4 per cell]  1 As 1.71
O 0.1166 0.5662 0.5000 [4 per cell]  2 Cu 1.83, 1 Zn 2.02
O 0.1274 0.5683 0.0000 [4 per cell]  1 As 1.77, 2 Cu 1.91
O 0.1575 0.2532 0.2591 [8 per cell]  1 As 1.69

As for the magnetic moment: 0.000 μB/atom. For the total DFT energy (no corrections), the calculation gives -5.67 eV per atom.

---

Zn2CuAs2O8 | PBEsol | relaxed

Cell: 5.0935 5.3106 6.7271 Å, 69.34 86.85 67.74°
Last column: nearest neighbours and their distance in Å.
Space group P-1 (No. 2)
Asymmetric unit:
Zn 0.2321 0.2615 0.1866 [2 per cell]  5 O 1.95-2.13
Cu 0.5000 0.5000 0.5000 [1 per cell]  4 O 1.90-1.98
As 0.1334 0.1432 0.7237 [2 per cell]  4 O 1.69-1.74
O 0.0890 0.3492 0.8797 [2 per cell]  1 As 1.72
O 0.1880 0.8714 0.3353 [2 per cell]  1 As 1.74
O 0.2663 0.2979 0.4890 [2 per cell]  1 As 1.74, 1 Cu 1.90
O 0.3682 0.7990 0.8501 [2 per cell]  1 As 1.69

As for the magnetic moment: 0.077 μB/atom. For the total DFT energy (no corrections), the calculation gives -5.79 eV per atom.

---

CuAsOs3 | PBEsol | relaxed

Cell: 4.4070 4.4070 4.4070 Å, 90.00 90.00 90.00°
Last column: nearest neighbours and their distance in Å.
Space group Pm-3m (No. 221)
Asymmetric unit:
Cu 0.0000 0.0000 0.0000 [1 per cell]  6 Os 2.20
As 0.5000 0.5000 0.5000 [1 per cell]  12 Os 3.12
Os 0.0000 0.0000 0.5000 [3 per cell]  2 Cu 2.20

The calculation puts the density of states at the Fermi level at 8.9 states/eV per cell. As for the formation energy: 2.242 eV/atom. As for the magnetic moment: 0.001 μB/atom.

---

CuAs2Os | PBEsol | relaxed

Cell: 4.2049 4.2049 6.4913 Å, 90.00 90.00 90.00°
Last column: nearest neighbours and their distance in Å.
Space group I4/mmm (No. 139)
Asymmetric unit:
Cu 0.0000 0.0000 0.0000 [2 per cell]  8 As 2.66, 4 Os 2.97
As 0.0000 0.5000 0.2500 [4 per cell]  4 Os 2.66, 4 Cu 2.66, 4 As 2.97
Os 0.0000 0.0000 0.5000 [2 per cell]  8 As 2.66, 4 Cu 2.97

The calculation puts the density of states at the Fermi level at 4.6 states/eV per cell. As for the formation energy: 0.305 eV/atom. As for the magnetic moment: 0.000 μB/atom.

---

CuAsOs2 | PBEsol | relaxed

Cell: 8.1017 2.8271 4.8560 Å, 90.00 99.99 90.00°
Last column: nearest neighbours and their distance in Å.
Space group C2/m (No. 12)
Asymmetric unit:
Cu 0.0000 0.0000 0.0000 [2 per cell]  6 Os 2.54-2.58, 4 As 2.81, 2 Cu 2.83
As 0.0000 0.5000 0.5000 [2 per cell]  6 Os 2.53-2.60, 4 Cu 2.81, 2 As 2.83
Os 0.2484 0.5000 0.2488 [4 per cell]  3 As 2.53-2.60, 3 Cu 2.54-2.58, 6 Os 2.80-2.83

The calculation puts the density of states at the Fermi level at 6.1 states/eV per cell. As for the formation energy: 0.413 eV/atom. As for the magnetic moment: 0.000 μB/atom.

---

CuAsOs2 | PBEsol | relaxed

Cell: 2.7473 4.5844 9.0896 Å, 90.00 90.00 90.00°
Last column: nearest neighbours and their distance in Å.
Space group Cmmm (No. 65)
Asymmetric unit:
Cu 0.0000 0.0000 0.0000 [2 per cell]  4 Os 2.56, 6 Cu 2.67-2.75
As 0.0000 0.0000 0.5000 [2 per cell]  6 As 2.67-2.75, 4 Os 2.75
Os 0.0000 0.5000 0.2374 [4 per cell]  2 Cu 2.56, 6 Os 2.67-2.75, 2 As 2.75

The calculation puts the density of states at the Fermi level at 9.2 states/eV per cell. As for the formation energy: 0.723 eV/atom. As for the magnetic moment: 0.000 μB/atom.

---

Cu2AsOs | PBEsol | relaxed

Cell: 3.5659 3.5659 8.2755 Å, 90.00 90.00 90.00°
Last column: nearest neighbours and their distance in Å.
Space group I4/mmm (No. 139)
Asymmetric unit:
Cu 0.0000 0.5000 0.2500 [4 per cell]  4 Cu 2.52, 4 As 2.73, 4 Os 2.73
As 0.0000 0.0000 0.0000 [2 per cell]  4 Os 2.52, 8 Cu 2.73
Os 0.0000 0.0000 0.5000 [2 per cell]  4 As 2.52, 8 Cu 2.73

The calculation puts the density of states at the Fermi level at 10.0 states/eV per cell. As for the formation energy: 0.422 eV/atom. As for the magnetic moment: 0.001 μB/atom.

---

CuAsOs3 | PBEsol | relaxed

Cell: 4.4605 4.4605 4.4605 Å, 90.00 90.00 90.00°
Last column: nearest neighbours and their distance in Å.
Space group Pm-3m (No. 221)
Asymmetric unit:
Cu 0.0000 0.0000 0.0000 [1 per cell]  12 Os 3.15
As 0.5000 0.5000 0.5000 [1 per cell]  6 Os 2.23
Os 0.0000 0.5000 0.5000 [3 per cell]  2 As 2.23

The calculation puts the density of states at the Fermi level at 4.1 states/eV per cell. As for the formation energy: 1.940 eV/atom. As for the magnetic moment: 0.359 μB/atom.